# 1
First-principles (PBE-GGA) data for a geometry-optimized Hf8Fe2Bi structure, as listed in Alexandria.

Properties
DFT formation energy: -47 meV/atom

The structure in CIF format:
```
data_Hf8Fe2Bi
_cell_length_a 5.666
_cell_length_b 7.625
_cell_length_c 7.625
_cell_angle_alpha 44.46
_cell_angle_beta 89.01
_cell_angle_gamma 89.01
_space_group_name_H-M_alt 'P 1'
_space_group_IT_number 1
loop_
_space_group_symop_operation_xyz
'x,y,z'
loop_
_atom_site_label
_atom_site_fract_x
_atom_site_fract_y
_atom_site_fract_z
Bi1 0.000 0.000 0.000
Hf1 0.372 0.370 0.861
Hf2 0.877 0.216 0.216
Hf3 0.628 0.139 0.630
Fe1 0.402 0.264 0.264
Hf4 0.874 0.596 0.596
Hf5 0.123 0.784 0.784
Hf6 0.372 0.861 0.370
Hf7 0.126 0.404 0.404
Fe2 0.598 0.736 0.736
Hf8 0.628 0.630 0.139
```

# 2
First-principles (PBE-GGA) data for a geometry-optimized AlHI3 structure, as listed in Alexandria.

Properties
relative energy among the computed polymorphs: 12.033 kcal/mol of atoms

The structure in CIF format:
```
data_AlHI3
_cell_length_a 5.602
_cell_length_b 5.602
_cell_length_c 5.602
_cell_angle_alpha 90.00
_cell_angle_beta 90.00
_cell_angle_gamma 90.00
_space_group_name_H-M_alt 'P 1'
_space_group_IT_number 1
loop_
_space_group_symop_operation_xyz
'x,y,z'
loop_
_atom_site_label
_atom_site_fract_x
_atom_site_fract_y
_atom_site_fract_z
I1 0.000 0.000 0.500
I2 0.000 0.500 0.000
Al1 0.000 0.000 0.000
I3 0.500 0.000 0.000
H1 0.500 0.500 0.500
```

# 3
First-principles (PBE-GGA) data for a geometry-optimized USCl2 structure, as listed in Alexandria.

Properties
formation energy (no corrections): -1.47 eV per atom

The structure in CIF format:
```
data_USCl2
_cell_length_a 3.944
_cell_length_b 3.842
_cell_length_c 8.957
_cell_angle_alpha 106.58
_cell_angle_beta 102.72
_cell_angle_gamma 90.00
_space_group_name_H-M_alt 'P 1'
_space_group_IT_number 1
loop_
_space_group_symop_operation_xyz
'x,y,z'
loop_
_atom_site_label
_atom_site_fract_x
_atom_site_fract_y
_atom_site_fract_z
Cl1 0.899 0.947 0.797
S1 0.250 0.250 0.500
Cl2 0.601 0.553 0.203
U1 0.750 0.750 0.500
```

# 4
First-principles (PBE-GGA) data for a geometry-optimized SrCrCo2 structure, as listed in Alexandria.

Properties
DFT formation energy: 894 meV/atom
relative energy among the computed polymorphs: 13.234 kcal/mol of atoms

The structure in CIF format:
```
data_SrCrCo2
_cell_length_a 4.519
_cell_length_b 4.519
_cell_length_c 4.519
_cell_angle_alpha 120.05
_cell_angle_beta 120.05
_cell_angle_gamma 89.91
_space_group_name_H-M_alt 'P 1'
_space_group_IT_number 1
loop_
_space_group_symop_operation_xyz
'x,y,z'
loop_
_atom_site_label
_atom_site_fract_x
_atom_site_fract_y
_atom_site_fract_z
Cr1 0.250 0.750 0.500
Co1 0.500 0.500 0.000
Sr1 0.750 0.250 0.500
Co2 0.000 0.000 0.000
```

# 5
First-principles (PBE-GGA) data for a geometry-optimized SiNi2W structure, as listed in Alexandria.

Properties
formation energy (no corrections): -0.07 eV per atom

The structure in CIF format:
```
data_SiNi2W
_cell_length_a 8.267
_cell_length_b 8.267
_cell_length_c 8.267
_cell_angle_alpha 18.70
_cell_angle_beta 18.70
_cell_angle_gamma 18.70
_space_group_name_H-M_alt 'P 1'
_space_group_IT_number 1
loop_
_space_group_symop_operation_xyz
'x,y,z'
loop_
_atom_site_label
_atom_site_fract_x
_atom_site_fract_y
_atom_site_fract_z
Si1 0.250 0.250 0.250
Ni1 0.992 0.992 0.992
Ni2 0.508 0.508 0.508
W1 0.750 0.750 0.750
```

# 6
First-principles (PBE-GGA) data for a geometry-optimized Y4Fe5 structure, as listed in Alexandria.

Properties
DFT formation energy: 306 meV/atom
relative energy among the computed polymorphs: 0.000 kcal/mol of atoms

The structure in CIF format:
```
data_Y4Fe5
_cell_length_a 7.358
_cell_length_b 7.358
_cell_length_c 7.358
_cell_angle_alpha 93.39
_cell_angle_beta 93.39
_cell_angle_gamma 151.86
_space_group_name_H-M_alt 'P 1'
_space_group_IT_number 1
loop_
_space_group_symop_operation_xyz
'x,y,z'
loop_
_atom_site_label
_atom_site_fract_x
_atom_site_fract_y
_atom_site_fract_z
Y1 0.715 0.000 0.715
Fe1 0.692 0.308 0.000
Y2 0.000 0.285 0.285
Fe2 0.000 0.000 0.000
Y3 0.285 0.000 0.285
Fe3 0.308 0.692 0.000
Fe4 0.308 0.308 0.617
Fe5 0.692 0.692 0.383
Y4 0.000 0.715 0.715
```

# 7
First-principles (PBE-GGA) data for a geometry-optimized Al2ReRh structure, as listed in Alexandria.

Properties
DFT formation energy: -552 meV/atom
relative energy among the computed polymorphs: 0.000 kcal/mol of atoms

The structure in CIF format:
```
data_Al2ReRh
_cell_length_a 4.384
_cell_length_b 4.384
_cell_length_c 2.912
_cell_angle_alpha 90.00
_cell_angle_beta 90.00
_cell_angle_gamma 90.00
_space_group_name_H-M_alt 'P 1'
_space_group_IT_number 1
loop_
_space_group_symop_operation_xyz
'x,y,z'
loop_
_atom_site_label
_atom_site_fract_x
_atom_site_fract_y
_atom_site_fract_z
Al1 0.000 0.000 0.000
Al2 0.500 0.500 0.000
Rh1 0.000 0.500 0.500
Re1 0.500 0.000 0.500
```

# 8
First-principles (PBE-GGA) data for a geometry-optimized BeRe2Ir structure, as listed in Alexandria.

Properties
DFT formation energy: -85 meV/atom

The structure in CIF format:
```
data_BeRe2Ir
_cell_length_a 4.986
_cell_length_b 4.986
_cell_length_c 4.986
_cell_angle_alpha 147.23
_cell_angle_beta 127.78
_cell_angle_gamma 63.03
_space_group_name_H-M_alt 'P 1'
_space_group_IT_number 1
loop_
_space_group_symop_operation_xyz
'x,y,z'
loop_
_atom_site_label
_atom_site_fract_x
_atom_site_fract_y
_atom_site_fract_z
Re1 0.281 0.781 0.500
Ir1 0.718 0.218 0.500
Re2 0.997 0.997 0.000
Be1 0.505 0.505 0.000
```

# 9
First-principles (PBE-GGA) data for a geometry-optimized LiFeTe2N structure, as listed in Alexandria.

Properties
relative energy among the computed polymorphs: 0.000 kcal/mol of atoms
formation energy (no corrections): -0.05 eV per atom

The structure in CIF format:
```
data_LiFeTe2N
_cell_length_a 5.408
_cell_length_b 5.408
_cell_length_c 3.369
_cell_angle_alpha 90.00
_cell_angle_beta 90.00
_cell_angle_gamma 90.00
_space_group_name_H-M_alt 'P 1'
_space_group_IT_number 1
loop_
_space_group_symop_operation_xyz
'x,y,z'
loop_
_atom_site_label
_atom_site_fract_x
_atom_site_fract_y
_atom_site_fract_z
N1 0.000 0.000 0.500
Te1 0.500 0.000 0.000
Li1 0.500 0.500 0.500
Te2 0.000 0.500 0.000
Fe1 0.000 0.000 0.000
```

# 10
First-principles (PBE-GGA) data for a geometry-optimized LaCeCuPb structure, as listed in Alexandria.

Properties
DFT formation energy: -222 meV/atom

The structure in CIF format:
```
data_LaCeCuPb
_cell_length_a 5.422
_cell_length_b 5.422
_cell_length_c 5.422
_cell_angle_alpha 60.00
_cell_angle_beta 60.00
_cell_angle_gamma 60.00
_space_group_name_H-M_alt 'P 1'
_space_group_IT_number 1
loop_
_space_group_symop_operation_xyz
'x,y,z'
loop_
_atom_site_label
_atom_site_fract_x
_atom_site_fract_y
_atom_site_fract_z
Ce1 0.000 0.000 0.000
La1 0.500 0.500 0.500
Pb1 0.750 0.750 0.750
Cu1 0.250 0.250 0.250
```

# 11
First-principles (PBE-GGA) data for a geometry-optimized ScMn2Hg structure, as listed in Alexandria.

Properties
DFT formation energy: 3 meV/atom

The structure in CIF format:
```
data_ScMn2Hg
_cell_length_a 3.132
_cell_length_b 3.172
_cell_length_c 7.645
_cell_angle_alpha 65.49
_cell_angle_beta 90.00
_cell_angle_gamma 90.00
_space_group_name_H-M_alt 'P 1'
_space_group_IT_number 1
loop_
_space_group_symop_operation_xyz
'x,y,z'
loop_
_atom_site_label
_atom_site_fract_x
_atom_site_fract_y
_atom_site_fract_z
Mn1 0.500 0.288 0.212
Hg1 0.500 0.725 0.776
Sc1 0.000 0.526 0.474
Mn2 0.000 0.962 0.038
```

# 12
First-principles (PBE-GGA) data for a geometry-optimized TaMnC2 structure, as listed in Alexandria.

Properties
DFT formation energy: 577 meV/atom

The structure in CIF format:
```
data_TaMnC2
_cell_length_a 3.755
_cell_length_b 3.755
_cell_length_c 3.755
_cell_angle_alpha 60.00
_cell_angle_beta 60.00
_cell_angle_gamma 60.00
_space_group_name_H-M_alt 'P 1'
_space_group_IT_number 1
loop_
_space_group_symop_operation_xyz
'x,y,z'
loop_
_atom_site_label
_atom_site_fract_x
_atom_site_fract_y
_atom_site_fract_z
Mn1 0.000 0.000 0.000
C1 0.750 0.750 0.750
C2 0.250 0.250 0.250
Ta1 0.500 0.500 0.500
```

# 13
First-principles (PBE-GGA) data for a geometry-optimized TbPrSe2 structure, as listed in Alexandria.

Properties
relative energy among the computed polymorphs: 0.915 kcal/mol of atoms
formation energy (no corrections): -1.78 eV per atom

The structure in CIF format:
```
data_TbPrSe2
_cell_length_a 4.055
_cell_length_b 4.055
_cell_length_c 7.708
_cell_angle_alpha 74.75
_cell_angle_beta 74.75
_cell_angle_gamma 60.00
_space_group_name_H-M_alt 'P 1'
_space_group_IT_number 1
loop_
_space_group_symop_operation_xyz
'x,y,z'
loop_
_atom_site_label
_atom_site_fract_x
_atom_site_fract_y
_atom_site_fract_z
Tb1 0.495 0.495 0.515
Pr1 0.672 0.672 0.985
Se1 0.086 0.086 0.741
Se2 0.247 0.247 0.259
```

# 14
First-principles (PBE-GGA) data for a geometry-optimized Ac6Te3Rh2Br structure, as listed in Alexandria.

Properties
formation energy (no corrections): -1.22 eV per atom

The structure in CIF format:
```
data_Ac6Te3Rh2Br
_cell_length_a 7.834
_cell_length_b 7.834
_cell_length_c 8.371
_cell_angle_alpha 99.00
_cell_angle_beta 99.00
_cell_angle_gamma 119.89
_space_group_name_H-M_alt 'P 1'
_space_group_IT_number 1
loop_
_space_group_symop_operation_xyz
'x,y,z'
loop_
_atom_site_label
_atom_site_fract_x
_atom_site_fract_y
_atom_site_fract_z
Ac1 0.293 0.293 0.784
Te1 0.844 0.156 0.500
Ac2 0.072 0.438 0.220
Ac3 0.707 0.707 0.216
Te2 0.500 0.500 0.500
Ac4 0.562 0.928 0.780
Rh1 0.332 0.668 0.000
Te3 0.156 0.844 0.500
Ac5 0.928 0.562 0.780
Br1 0.000 0.000 0.000
Ac6 0.438 0.072 0.220
Rh2 0.668 0.332 0.000
```

# 15
First-principles (PBE-GGA) data for a geometry-optimized AcYGaRh structure, as listed in Alexandria.

Properties
DFT formation energy: -489 meV/atom

The structure in CIF format:
```
data_AcYGaRh
_cell_length_a 5.207
_cell_length_b 5.207
_cell_length_c 5.207
_cell_angle_alpha 60.00
_cell_angle_beta 60.00
_cell_angle_gamma 60.00
_space_group_name_H-M_alt 'P 1'
_space_group_IT_number 1
loop_
_space_group_symop_operation_xyz
'x,y,z'
loop_
_atom_site_label
_atom_site_fract_x
_atom_site_fract_y
_atom_site_fract_z
Rh1 0.250 0.250 0.250
Ga1 0.750 0.750 0.750
Y1 0.000 0.000 0.000
Ac1 0.500 0.500 0.500
```

# 16
First-principles (PBE-GGA) data for a geometry-optimized Er3Ag2Sn structure, as listed in Alexandria.

Properties
DFT formation energy: -432 meV/atom

The structure in CIF format:
```
data_Er3Ag2Sn
_cell_length_a 3.664
_cell_length_b 5.138
_cell_length_c 8.194
_cell_angle_alpha 108.27
_cell_angle_beta 90.00
_cell_angle_gamma 90.00
_space_group_name_H-M_alt 'P 1'
_space_group_IT_number 1
loop_
_space_group_symop_operation_xyz
'x,y,z'
loop_
_atom_site_label
_atom_site_fract_x
_atom_site_fract_y
_atom_site_fract_z
Ag1 0.000 0.671 0.342
Ag2 0.000 0.329 0.658
Er1 0.500 0.170 0.340
Sn1 0.000 0.000 0.000
Er2 0.500 0.830 0.660
Er3 0.500 0.500 0.000
```

# 17
First-principles (PBE-GGA) data for a geometry-optimized CaYHg structure, as listed in Alexandria.

Properties
DFT formation energy: -205 meV/atom
relative energy among the computed polymorphs: 2.524 kcal/mol of atoms

The structure in CIF format:
```
data_CaYHg
_cell_length_a 5.154
_cell_length_b 5.154
_cell_length_c 9.068
_cell_angle_alpha 73.49
_cell_angle_beta 73.49
_cell_angle_gamma 60.00
_space_group_name_H-M_alt 'P 1'
_space_group_IT_number 1
loop_
_space_group_symop_operation_xyz
'x,y,z'
loop_
_atom_site_label
_atom_site_fract_x
_atom_site_fract_y
_atom_site_fract_z
Y1 0.374 0.374 0.879
Y2 0.626 0.626 0.121
Ca1 0.125 0.125 0.625
Hg1 0.255 0.255 0.236
Hg2 0.745 0.745 0.764
Ca2 0.875 0.875 0.375
```

# 18
First-principles (PBE-GGA) data for a geometry-optimized Pu3P2Pt4 structure, as listed in Alexandria.

Properties
DFT formation energy: -925 meV/atom

The structure in CIF format:
```
data_Pu3P2Pt4
_cell_length_a 4.208
_cell_length_b 5.749
_cell_length_c 8.381
_cell_angle_alpha 106.11
_cell_angle_beta 90.00
_cell_angle_gamma 111.47
_space_group_name_H-M_alt 'P 1'
_space_group_IT_number 1
loop_
_space_group_symop_operation_xyz
'x,y,z'
loop_
_atom_site_label
_atom_site_fract_x
_atom_site_fract_y
_atom_site_fract_z
Pt1 0.287 0.574 0.926
Pu1 0.000 0.000 0.000
Pu2 0.667 0.334 0.663
Pu3 0.333 0.666 0.337
Pt2 0.053 0.106 0.374
Pt3 0.713 0.426 0.074
Pt4 0.947 0.894 0.626
P1 0.388 0.776 0.711
P2 0.612 0.224 0.289
```

# 19
First-principles (PBE-GGA) data for a geometry-optimized LiMn2Os structure, as listed in Alexandria.

Properties
DFT formation energy: 217 meV/atom

The structure in CIF format:
```
data_LiMn2Os
_cell_length_a 4.364
_cell_length_b 4.364
_cell_length_c 2.783
_cell_angle_alpha 90.00
_cell_angle_beta 90.00
_cell_angle_gamma 98.61
_space_group_name_H-M_alt 'P 1'
_space_group_IT_number 1
loop_
_space_group_symop_operation_xyz
'x,y,z'
loop_
_atom_site_label
_atom_site_fract_x
_atom_site_fract_y
_atom_site_fract_z
Li1 0.000 0.500 0.500
Mn1 0.500 0.500 0.000
Mn2 0.000 0.000 0.000
Os1 0.500 0.000 0.500
```